Compound: CrHPd2Pt
Source: the Alexandria database
Functional: GGA-PBE
Structure: optimized geometry

Calculated values
Electronic total energy = -5.979 eV per atom
E above lowest polymorph = 5 meV per atom

```
data_CrHPd2Pt
_cell_length_a 3.989
_cell_length_b 3.989
_cell_length_c 3.978
_cell_angle_alpha 90.00
_cell_angle_beta 90.00
_cell_angle_gamma 90.00
_space_group_name_H-M_alt 'P 4/m m m'
_space_group_IT_number 123
_space_group_name_Hall '-P 4 2'
loop_
_atom_site_label
_atom_site_fract_x
_atom_site_fract_y
_atom_site_fract_z
Cr1 0.000 0.000 0.000
H1 0.500 0.500 0.500
Pd1 0.000 0.500 0.500
Pt1 0.500 0.500 0.000
```